# 1
Entry from the Alexandria database: an optimized crystal structure of Tm2C3 (PBE).

```
Tm2C3
1.0
-2.1048 3.7878 -5.5045
3.0498 -5.8922 -2.2488
-5.5350 -1.6082 3.9818
Tm C
8 12
direct
0.6004 0.6004 0.6004 Tm
0.5000 0.0000 0.3996 Tm
0.0000 0.3996 0.5000 Tm
0.3996 0.5000 0.0000 Tm
0.0000 0.8996 0.5000 Tm
0.8996 0.5000 0.0000 Tm
0.5000 0.0000 0.8996 Tm
0.1004 0.1004 0.1004 Tm
0.7919 0.0419 0.7500 C
0.9581 0.2081 0.7500 C
0.2500 0.5419 0.2919 C
0.2919 0.2500 0.5419 C
0.7500 0.9581 0.2081 C
0.2081 0.7500 0.9581 C
0.7081 0.4581 0.2500 C
0.4581 0.2500 0.7081 C
0.5419 0.2919 0.2500 C
0.2500 0.7081 0.4581 C
0.7500 0.7919 0.0419 C
0.0419 0.7500 0.7919 C
```

## Properties
Space-group type ... I-43d
Formation energy from the elements ... -0.2767 eV/atom

# 2
Entry from the Alexandria database: an optimized crystal structure of Tm3C2 (PBE).

```
Tm3C2
1.0
6.0884 0.0000 0.0000
3.0442 5.2727 0.0000
3.0442 1.7576 5.7699
C Tm
4 6
direct
0.8441 0.8441 0.4677 C
0.3441 0.3441 0.9677 C
0.1559 0.1559 0.5323 C
0.6559 0.6559 0.0323 C
0.0630 0.7500 0.7500 Tm
0.7500 0.4370 0.7500 Tm
0.4370 0.0630 0.7500 Tm
0.2500 0.5630 0.2500 Tm
0.5630 0.9370 0.2500 Tm
0.9370 0.2500 0.2500 Tm
```

## Properties
Energy above the most stable polymorph in this dataset ... 71 meV/atom
Space-group type ... R-3c
Formation energy from the elements ... -0.2778 eV/atom

# 3
Entry from the Alexandria database: an optimized crystal structure of Tm2C (PBE).

```
Tm2C
1.0
6.3179 -0.0001 -0.0001
5.3251 3.3998 -0.0001
5.3251 1.5549 3.0234
C Tm
1 2
direct
0.5000 0.5000 0.5000 C
0.2404 0.2404 0.2404 Tm
0.7596 0.7596 0.7596 Tm
```

## Properties
Space-group type ... R-3m
Formation energy from the elements ... -0.3442 eV/atom

# 4
Entry from the Alexandria database: an optimized crystal structure of Tm4C (PBE).

```
Tm4C
1.0
4.9623 0.0000 0.0000
0.0000 4.9623 0.0000
0.0000 0.0000 4.9623
C Tm
1 4
direct
0.5000 0.5000 0.5000 C
0.0000 0.0000 0.0000 Tm
0.5000 0.0000 0.5000 Tm
0.0000 0.5000 0.5000 Tm
0.5000 0.5000 0.0000 Tm
```

## Properties
Space-group type ... Pm-3m
Formation energy from the elements ... -0.0473 eV/atom

# 5
Entry from the Alexandria database: an optimized crystal structure of Tm2C (PBE).

```
Tm2C
1.0
-2.0217 -2.6657 -0.9465
3.2768 -0.5999 0.9959
-2.4982 1.0011 5.7496
Tm C
2 1
direct
0.6315 0.1370 0.7685 Tm
0.8630 0.3685 0.2315 Tm
0.0835 0.9165 0.0000 C
```

## Properties
Space-group type ... Fmm2
Formation energy from the elements ... -0.0033 eV/atom

# 6
Entry from the Alexandria database: an optimized crystal structure of Tm4C7 (PBE).

```
Tm4C7
1.0
13.6193 0.0000 0.0000
0.0000 3.6427 0.0029
0.0000 1.6542 6.1335
Tm C
8 14
direct
0.8392 0.0578 0.8389 Tm
0.1608 0.9422 0.1611 Tm
0.3392 0.9422 0.6611 Tm
0.6608 0.0578 0.3389 Tm
0.5547 0.3658 0.7604 Tm
0.4453 0.6342 0.2396 Tm
0.0547 0.6342 0.7396 Tm
0.9453 0.3658 0.2604 Tm
0.3962 0.2679 0.9496 C
0.6038 0.7321 0.0504 C
0.8962 0.7321 0.5504 C
0.1038 0.2679 0.4496 C
0.7145 0.4663 0.5758 C
0.2855 0.5337 0.4242 C
0.2145 0.5337 0.9242 C
0.7855 0.4663 0.0758 C
0.3028 0.3763 0.9552 C
0.6972 0.6237 0.0448 C
0.8028 0.6237 0.5448 C
0.1972 0.3763 0.4552 C
0.0000 0.0000 0.0000 C
0.5000 0.0000 0.5000 C
```

## Properties
Space-group type ... P2_1/c
Formation energy from the elements ... -0.3158 eV/atom

# 7
Entry from the Alexandria database: an optimized crystal structure of Tm4C3 (PBE).

```
Tm4C3
1.0
6.3128 0.0000 -2.2319
-3.1564 5.4670 -2.2319
0.0000 0.0000 6.6957
Tm C
8 6
direct
0.4087 0.5000 0.0000 Tm
0.5000 0.4087 0.5000 Tm
0.0000 0.0000 0.4087 Tm
0.5913 0.0913 0.0913 Tm
0.0000 0.0000 0.9087 Tm
0.0913 0.5913 0.5913 Tm
0.9087 0.5000 0.0000 Tm
0.5000 0.9087 0.5000 Tm
0.1250 0.3750 0.2500 C
0.6250 0.7500 0.8750 C
0.8750 0.2500 0.6250 C
0.2500 0.8750 0.1250 C
0.7500 0.6250 0.3750 C
0.3750 0.1250 0.7500 C
```

## Properties
Space-group type ... I-43d
Formation energy from the elements ... -0.3178 eV/atom

# 8
Entry from the Alexandria database: an optimized crystal structure of Tm3C4 (PBE).

```
Tm3C4
1.0
7.9544 0.0000 0.0000
0.0000 7.9544 0.0000
0.0000 0.0000 15.8013
Tm C
30 40
direct
0.5000 0.5000 0.5000 Tm
0.0000 0.0000 0.0000 Tm
0.5000 0.5000 0.1871 Tm
0.0000 0.0000 0.6871 Tm
0.5000 0.5000 0.8129 Tm
0.0000 0.0000 0.3129 Tm
0.7029 0.9041 0.5000 Tm
0.2971 0.0959 0.5000 Tm
0.7971 0.4041 0.0000 Tm
0.2029 0.5959 0.0000 Tm
0.9041 0.2971 0.5000 Tm
0.0959 0.7029 0.5000 Tm
0.4041 0.2029 0.0000 Tm
0.5959 0.7971 0.0000 Tm
0.7883 0.5999 0.3540 Tm
0.2117 0.4001 0.3540 Tm
0.7117 0.0999 0.8540 Tm
0.2883 0.9001 0.8540 Tm
0.5999 0.2117 0.3540 Tm
0.4001 0.7883 0.3540 Tm
0.0999 0.2883 0.8540 Tm
0.9001 0.7117 0.8540 Tm
0.2117 0.4001 0.6460 Tm
0.7883 0.5999 0.6460 Tm
0.2883 0.9001 0.1460 Tm
0.7117 0.0999 0.1460 Tm
0.4001 0.7883 0.6460 Tm
0.5999 0.2117 0.6460 Tm
0.9001 0.7117 0.1460 Tm
0.0999 0.2883 0.1460 Tm
0.5000 0.5000 0.9585 C
0.0000 0.0000 0.4585 C
0.5000 0.5000 0.0415 C
0.0000 0.0000 0.5415 C
0.5000 0.5000 0.3430 C
0.0000 0.0000 0.8430 C
0.5000 0.5000 0.6570 C
0.0000 0.0000 0.1570 C
0.6063 0.1961 0.5000 C
0.3937 0.8039 0.5000 C
0.8937 0.6961 0.0000 C
0.1063 0.3039 0.0000 C
0.1961 0.3937 0.5000 C
0.8039 0.6063 0.5000 C
0.6961 0.1063 0.0000 C
0.3039 0.8937 0.0000 C
0.6935 0.9021 0.3283 C
0.3065 0.0979 0.3283 C
0.8065 0.4021 0.8283 C
0.1935 0.5979 0.8283 C
0.9021 0.3065 0.3283 C
0.0979 0.6935 0.3283 C
0.4021 0.1935 0.8283 C
0.5979 0.8065 0.8283 C
0.3065 0.0979 0.6717 C
0.6935 0.9021 0.6717 C
0.1935 0.5979 0.1717 C
0.8065 0.4021 0.1717 C
0.0979 0.6935 0.6717 C
0.9021 0.3065 0.6717 C
0.5979 0.8065 0.1717 C
0.4021 0.1935 0.1717 C
0.6503 0.8497 0.2500 C
0.3497 0.1503 0.2500 C
0.8497 0.3497 0.7500 C
0.1503 0.6503 0.7500 C
0.8497 0.3497 0.2500 C
0.1503 0.6503 0.2500 C
0.3497 0.1503 0.7500 C
0.6503 0.8497 0.7500 C
```

## Properties
Space-group type ... P4/mnc
Formation energy from the elements ... -0.3644 eV/atom

# 9
Entry from the Alexandria database: an optimized crystal structure of Tm3C (PBE).

```
Tm3C
1.0
3.3077 0.0000 0.0000
0.0000 5.8981 0.0000
-1.6539 -2.9491 4.8699
C Tm
1 3
direct
0.0000 0.0491 0.0000 C
0.3340 0.7211 0.6679 Tm
0.5000 0.3432 0.0000 Tm
0.6660 0.0532 0.3321 Tm
```

## Properties
Space-group type ... Imm2
Formation energy from the elements ... -0.0109 eV/atom

# 10
Entry from the Alexandria database: an optimized crystal structure of TmUC (PBE).

```
TmUC
1.0
3.1038 0.0000 0.0000
-1.5519 6.1626 0.0000
0.0000 0.0000 5.9303
C U Tm
2 2 2
direct
0.5000 0.0000 0.5000 C
0.5000 0.0000 0.0000 C
0.0808 0.1616 0.2500 U
0.9192 0.8384 0.7500 U
0.1700 0.3399 0.7500 Tm
0.8300 0.6601 0.2500 Tm
```

## Properties
Energy above the most stable polymorph in this dataset ... 327 meV/atom
Space-group type ... Cmcm
Formation energy from the elements ... 0.2787 eV/atom

# 11
Entry from the Alexandria database: an optimized crystal structure of TmU5C6 (PBE).

```
TmU5C6
1.0
5.9957 0.1422 0.9087
1.4705 5.0541 2.9473
0.1013 0.0458 6.0449
C Tm U
6 1 5
direct
0.7428 0.0866 0.3426 C
0.2572 0.5708 0.3426 C
0.2497 0.2625 0.0000 C
0.7503 0.7375 0.0000 C
0.7428 0.4292 0.6574 C
0.2572 0.9134 0.6574 C
0.0000 0.0000 0.0000 Tm
0.5000 0.1634 0.6733 U
0.0000 0.3320 0.3360 U
0.5000 0.5000 0.0000 U
0.0000 0.6680 0.6640 U
0.5000 0.8366 0.3267 U
```

## Properties
Space-group type ... C2/m
Formation energy from the elements ... -0.1717 eV/atom

# 12
Entry from the Alexandria database: an optimized crystal structure of TmUC (PBE).

```
TmUC
1.0
6.1307 0.0000 0.0000
0.0000 3.3511 0.0000
0.0000 -1.6755 2.9021
C Tm U
1 1 1
direct
0.3265 0.3333 0.6667 C
0.5677 0.6667 0.3333 Tm
0.1058 0.0000 0.0000 U
```

## Properties
Energy above the most stable polymorph in this dataset ... 0 meV/atom
Space-group type ... P3m1
Formation energy from the elements ... -0.0485 eV/atom

# 13
Entry from the Alexandria database: an optimized crystal structure of Tm3UC4 (PBE).

```
Tm3UC4
1.0
-0.3776 3.2034 -1.4599
-5.3987 -1.6643 -2.2556
-0.7147 2.4353 5.5284
C Tm U
4 3 1
direct
0.0000 0.2264 0.2264 C
0.5000 0.7628 0.2372 C
0.0000 0.7736 0.7736 C
0.5000 0.2372 0.7628 C
0.0000 0.0000 0.5000 Tm
0.5000 0.5000 0.5000 Tm
0.0000 0.5000 0.0000 Tm
0.5000 0.0000 0.0000 U
```

## Properties
Space-group type ... Cmmm
Formation energy from the elements ... -0.2842 eV/atom

# 14
Entry from the Alexandria database: an optimized crystal structure of TmU4C5 (PBE).

```
TmU4C5
1.0
-3.2740 -0.4499 1.0961
-0.9835 -2.6887 -4.0411
4.5393 -5.6693 5.7019
Tm U C
1 4 5
direct
0.0000 0.0000 0.0000 Tm
0.4011 0.4011 0.8022 U
0.8000 0.8000 0.6000 U
0.2000 0.2000 0.4000 U
0.5989 0.5989 0.1978 U
0.6059 0.1059 0.2117 C
0.8024 0.3024 0.6049 C
0.1976 0.6976 0.3951 C
0.0000 0.5000 0.0000 C
0.3941 0.8941 0.7883 C
```

## Properties
Space-group type ... Immm
Formation energy from the elements ... -0.1891 eV/atom

# 15
Entry from the Alexandria database: an optimized crystal structure of Tm2ZrUC4 (PBE).

```
Tm2ZrUC4
1.0
3.4931 0.0000 0.0000
0.0000 5.9903 -0.1105
0.0000 2.1160 5.6312
Tm Zr U C
2 1 1 4
direct
0.0000 0.0000 0.0000 Tm
0.5000 0.0000 0.5000 Tm
0.0000 0.5000 0.5000 Zr
0.5000 0.5000 0.0000 U
0.0000 0.7225 0.7624 C
0.0000 0.2775 0.2376 C
0.5000 0.7287 0.2498 C
0.5000 0.2713 0.7502 C
```

## Properties
Space-group type ... P2/m
Formation energy from the elements ... -0.4559 eV/atom

# 16
Entry from the Alexandria database: an optimized crystal structure of Tm2VC (PBE).

```
Tm2VC
1.0
3.3967 0.0000 0.0000
1.6984 2.9416 0.0000
1.6984 0.9805 8.6241
C Tm V
1 2 1
direct
0.5000 0.5000 0.5000 C
0.1147 0.1147 0.6560 Tm
0.8853 0.8853 0.3440 Tm
0.0000 0.0000 0.0000 V
```

## Properties
Space-group type ... R-3m
Formation energy from the elements ... 0.3386 eV/atom

# 17
Entry from the Alexandria database: an optimized crystal structure of Tm2VC2 (PBE).

```
Tm2VC2
1.0
4.9899 0.0000 0.0000
-2.4949 4.8662 -2.4116
0.0000 -0.0193 6.6260
Tm V C
4 2 4
direct
0.6794 0.3589 0.6108 Tm
0.3206 0.6411 0.3892 Tm
0.0268 0.0536 0.7650 Tm
0.9732 0.9464 0.2350 Tm
0.3611 0.7221 0.8785 V
0.6389 0.2779 0.1215 V
0.1846 0.3691 0.6132 C
0.8154 0.6309 0.3868 C
0.4958 0.9916 0.2179 C
0.5042 0.0084 0.7821 C
```

## Properties
Space-group type ... C2/m
Formation energy from the elements ... -0.3489 eV/atom

# 18
Entry from the Alexandria database: an optimized crystal structure of TmVC (PBE).

```
TmVC
1.0
-2.9901 2.9356 -0.3737
-2.3336 -2.1772 1.5681
1.9469 2.2333 1.9663
C Tm V
1 1 1
direct
0.1665 0.3333 0.6667 C
0.6668 0.6667 0.3333 Tm
0.1667 0.0000 0.0000 V
```

## Properties
Energy above the most stable polymorph in this dataset ... 117 meV/atom
Space-group type ... P-6m2
Formation energy from the elements ... 0.0855 eV/atom

# 19
Entry from the Alexandria database: an optimized crystal structure of TmVC (PBE).

```
TmVC
1.0
-4.5346 0.0806 -0.0656
-0.0031 -2.9650 -3.4326
2.1645 -2.0063 4.7279
C V Tm
2 2 2
direct
0.7721 0.7721 0.5443 C
0.0221 0.5221 0.0443 C
0.2319 0.7319 0.4638 V
0.9819 0.9819 0.9638 V
0.4960 0.4960 0.9919 Tm
0.7460 0.2460 0.4919 Tm
```

## Properties
Energy above the most stable polymorph in this dataset ... 0 meV/atom
Space-group type ... I4_1md
Formation energy from the elements ... -0.0318 eV/atom

# 20
Entry from the Alexandria database: an optimized crystal structure of Tm2V2C3 (PBE).

```
Tm2V2C3
1.0
3.1569 0.0000 -0.8982
-0.5445 5.1769 -1.9137
-0.0268 -0.0474 5.9028
Tm V C
2 2 3
direct
0.6077 0.8279 0.2154 Tm
0.3923 0.1721 0.7846 Tm
0.8436 0.6715 0.6871 V
0.1564 0.3285 0.3129 V
0.0000 0.0000 0.0000 C
0.7499 0.2759 0.4999 C
0.2501 0.7241 0.5001 C
```

## Properties
Space-group type ... C2/m
Formation energy from the elements ... -0.4575 eV/atom

# 21
Entry from the Alexandria database: an optimized crystal structure of Tm3VC3 (PBE).

```
Tm3VC3
1.0
4.9969 0.0000 0.0000
0.0000 6.7174 -0.6997
0.0000 -0.4255 6.7403
Tm V C
6 2 6
direct
0.2500 0.6011 0.8373 Tm
0.2500 0.1627 0.3989 Tm
0.2500 0.1108 0.8892 Tm
0.7500 0.3989 0.1627 Tm
0.7500 0.8373 0.6011 Tm
0.7500 0.8892 0.1108 Tm
0.7500 0.3099 0.6901 V
0.2500 0.6901 0.3099 V
0.7500 0.5845 0.8285 C
0.7500 0.1715 0.4155 C
0.7500 0.1254 0.8746 C
0.2500 0.4155 0.1715 C
0.2500 0.8285 0.5845 C
0.2500 0.8746 0.1254 C
```

## Properties
Space-group type ... Cmcm
Formation energy from the elements ... -0.3756 eV/atom